Run i
Ho4CuAg | GGA-PBE | optimized geometry

```
data_Ho4CuAg
_space_group_name_H-M_alt 'P 1'
_space_group_IT_number 1
_space_group_name_Hall 'P 1'
_cell_length_a 3.509
_cell_length_b 3.509
_cell_length_c 12.394
_cell_angle_alpha 90.00
_cell_angle_beta 90.00
_cell_angle_gamma 90.00
loop_
_atom_site_label
_atom_site_type_symbol
_atom_site_fract_x
_atom_site_fract_y
_atom_site_fract_z
Ho1 Ho 0.500 0.500 0.846
Cu1 Cu 0.500 0.500 0.500
Ag1 Ag 0.000 0.000 0.000
Ho2 Ho 0.500 0.500 0.154
Ho3 Ho 0.000 0.000 0.637
Ho4 Ho 0.000 0.000 0.363
```



Run ii
Ho4CuAg | GGA-PBE | optimized geometry

```
data_Ho4CuAg
_space_group_name_H-M_alt 'P 1'
_space_group_IT_number 1
_space_group_name_Hall 'P 1'
_cell_length_a 6.847
_cell_length_b 7.199
_cell_length_c 6.876
_cell_angle_alpha 90.00
_cell_angle_beta 95.39
_cell_angle_gamma 90.00
loop_
_atom_site_label
_atom_site_type_symbol
_atom_site_fract_x
_atom_site_fract_y
_atom_site_fract_z
Ho1 Ho 0.177 0.835 0.653
Ho2 Ho 0.323 0.335 0.347
Ag1 Ag 0.000 0.000 0.000
Cu1 Cu 0.000 0.500 0.500
Ho3 Ho 0.119 0.345 0.838
Ho4 Ho 0.619 0.155 0.838
Ag2 Ag 0.500 0.500 0.000
Ho5 Ho 0.677 0.665 0.653
Cu2 Cu 0.500 0.000 0.500
Ho6 Ho 0.823 0.165 0.347
Ho7 Ho 0.881 0.655 0.162
Ho8 Ho 0.381 0.845 0.162
```



Most stable one: run i, least stable one: run ii.



Run i
LaHoCuAg | GGA-PBE | optimized geometry

```
data_LaHoCuAg
_space_group_name_H-M_alt 'P 1'
_space_group_IT_number 1
_space_group_name_Hall 'P 1'
_cell_length_a 5.175
_cell_length_b 5.175
_cell_length_c 5.175
_cell_angle_alpha 60.00
_cell_angle_beta 60.00
_cell_angle_gamma 60.00
loop_
_atom_site_label
_atom_site_type_symbol
_atom_site_fract_x
_atom_site_fract_y
_atom_site_fract_z
Ag1 Ag 0.750 0.750 0.750
Cu1 Cu 0.250 0.250 0.250
La1 La 0.500 0.500 0.500
Ho1 Ho 0.000 0.000 0.000
```



Run ii
LaHoCuAg | GGA-PBE | optimized geometry

```
data_LaHoCuAg
_space_group_name_H-M_alt 'P 1'
_space_group_IT_number 1
_space_group_name_Hall 'P 1'
_cell_length_a 3.594
_cell_length_b 3.594
_cell_length_c 7.444
_cell_angle_alpha 90.00
_cell_angle_beta 90.00
_cell_angle_gamma 90.00
loop_
_atom_site_label
_atom_site_type_symbol
_atom_site_fract_x
_atom_site_fract_y
_atom_site_fract_z
Ho1 Ho 0.000 0.000 0.371
La1 La 0.000 0.000 0.843
Cu1 Cu 0.500 0.500 0.578
Ag1 Ag 0.500 0.500 0.135
```



Most stable one: run ii, least stable one: run i.



Run i
NdHoCuAg | GGA-PBE | optimized geometry

```
data_NdHoCuAg
_space_group_name_H-M_alt 'P 1'
_space_group_IT_number 1
_space_group_name_Hall 'P 1'
_cell_length_a 5.120
_cell_length_b 5.120
_cell_length_c 5.120
_cell_angle_alpha 60.00
_cell_angle_beta 60.00
_cell_angle_gamma 60.00
loop_
_atom_site_label
_atom_site_type_symbol
_atom_site_fract_x
_atom_site_fract_y
_atom_site_fract_z
Cu1 Cu 0.250 0.250 0.250
Nd1 Nd 0.500 0.500 0.500
Ho1 Ho 0.000 0.000 0.000
Ag1 Ag 0.750 0.750 0.750
```



Run ii
NdHoCuAg | GGA-PBE | optimized geometry

```
data_NdHoCuAg
_space_group_name_H-M_alt 'P 1'
_space_group_IT_number 1
_space_group_name_Hall 'P 1'
_cell_length_a 3.573
_cell_length_b 3.573
_cell_length_c 7.341
_cell_angle_alpha 90.00
_cell_angle_beta 90.00
_cell_angle_gamma 90.00
loop_
_atom_site_label
_atom_site_type_symbol
_atom_site_fract_x
_atom_site_fract_y
_atom_site_fract_z
Cu1 Cu 0.500 0.500 0.586
Ho1 Ho 0.000 0.000 0.371
Ag1 Ag 0.500 0.500 0.128
Nd1 Nd 0.000 0.000 0.843
```



Most stable one: run ii, least stable one: run i.